Computed, not measured: V3PCl after structural relaxation at the GGA-PBE level of DFT.

Output
The crystal system is cubic. As for the energy relative to the lowest polymorph listed for this composition: 0 kJ/mol of formula units. The value obtained for the total magnetization is 1.94 μB/atom. For the density of states at the Fermi level, the calculation gives 2.32 states/eV per atom. The value obtained for the uncorrected formation energy is 0.544 eV per atom.

abc: 4.6717 4.6717 4.6717
angles: 90.00 90.00 90.00
Space group Pm-3m (No. 221)
Symmetry-distinct sites (fractional):
V 0.0000 0.0000 0.5000
P 0.0000 0.0000 0.0000
Cl 0.5000 0.5000 0.5000